Rb2LaHgF6: optimized geometry, PBE-GGA.

Unit cell a=6.9257 b=6.9257 c=6.9256 alpha=60.00 beta=60.00 gamma=90.00
With the nearest neighbours (Å) after each atom.
Atoms (fractional coordinates):
Hg: 0.0000 0.0000 0.0000  6 F 2.59
F: 0.2642 0.2642 0.0000  1 La 2.31
Rb: 0.7500 0.2500 0.5000  12 F 3.47
La: 0.5000 0.5000 0.0000  6 F 2.31
F: 0.7358 0.7358 0.0000  1 La 2.31
F: 0.2642 0.7358 0.0000  1 La 2.31
F: 0.2642 0.2642 0.4716  1 La 2.31
F: 0.7358 0.7358 0.5284  1 La 2.31
F: 0.7358 0.2642 0.0000  1 La 2.31
Rb: 0.2500 0.7500 0.5000  12 F 3.47

- SG = Fm-3m
- spin magnetization (μB/f.u.) = 1.00
- formation energy from raw total energies (eV/atom) = -2.824